A crystal of Fe2HgBr relaxed with PBEsol. Source: the Alexandria database, functional SCAN.

a b c (Å): 3.0714 4.2807 5.3815
angles (deg): 90.00 90.00 90.00
With the nearest neighbours (Å) after each atom.
Space group Pmmm (No. 47)
Inequivalent atoms, fractional coordinates:
Fe 0.0000 0.0000 0.0000 [1 per cell]  4 Br 2.63
Fe 0.5000 0.0000 0.5000 [1 per cell]  4 Hg 2.63
Hg 0.0000 0.5000 0.5000 [1 per cell]  4 Fe 2.63
Br 0.5000 0.5000 0.0000 [1 per cell]  4 Fe 2.63

raw formation energy	2.4	eV per formula unit
energy above the most stable polymorph in this dataset	21.1	kJ per mole of atoms

A crystal of FeHg2Br relaxed with PBEsol. Source: the Alexandria database, functional SCAN.

a b c (Å): 5.4547 9.1407 3.3337
angles (deg): 90.00 90.00 90.00
With the nearest neighbours (Å) after each atom.
Space group Cmmm (No. 65)
Inequivalent atoms, fractional coordinates:
Fe 0.0000 0.0000 0.0000 [2 per cell]  2 Br 2.73
Hg 0.2500 0.2500 0.5000 [4 per cell]  2 Hg 2.73
Br 0.0000 0.5000 0.0000 [2 per cell]  2 Fe 2.73

raw formation energy	1.2	eV per formula unit
energy above the most stable polymorph in this dataset	21.1	kJ per mole of atoms

A crystal of Fe2HgBr relaxed with PBEsol. Source: the Alexandria database, functional SCAN.

a b c (Å): 7.5599 3.1346 6.5164
angles (deg): 90.00 102.80 90.00
With the nearest neighbours (Å) after each atom.
Space group Cm (No. 8)
Inequivalent atoms, fractional coordinates:
Fe 0.0000 0.0000 0.0000 [2 per cell]  3 Fe 2.38-2.40
Fe 0.2318 0.5000 0.1390 [2 per cell]  3 Fe 2.38-2.40, 3 Br 2.51-2.60
Hg 0.2482 0.0000 0.7635 [2 per cell]  5 Fe 2.67-2.93
Br 0.4857 0.0000 0.3415 [2 per cell]  5 Fe 2.51-2.74

raw formation energy	1.5	eV per formula unit
energy above the most stable polymorph in this dataset	0.0	kJ per mole of atoms

A crystal of FeHg2Br relaxed with PBEsol. Source: the Alexandria database, functional SCAN.

a b c (Å): 3.0832 4.6399 12.6082
angles (deg): 90.00 90.00 90.00
With the nearest neighbours (Å) after each atom.
Space group Imm2 (No. 44)
Inequivalent atoms, fractional coordinates:
Fe 0.0000 0.0000 0.0000 [2 per cell]  2 Br 2.47
Hg 0.0000 0.0000 0.5346 [2 per cell]  4 Fe 2.82, 4 Hg 2.99-3.08
Hg 0.0000 0.5000 0.6846 [2 per cell]  2 Fe 2.79, 4 Hg 2.99-3.08
Br 0.0000 0.5000 0.3468 [2 per cell]  2 Fe 2.47

raw formation energy	0.4	eV per formula unit
energy above the most stable polymorph in this dataset	0.0	kJ per mole of atoms

A crystal of Fe2HgBr relaxed with PBEsol. Source: the Alexandria database, functional SCAN.

a b c (Å): 3.0605 3.0605 6.8144
angles (deg): 90.00 90.00 90.00
With the nearest neighbours (Å) after each atom.
Space group P4/mmm (No. 123)
Inequivalent atoms, fractional coordinates:
Fe 0.0000 0.0000 0.2422 [2 per cell]  4 Br 2.72, 4 Hg 2.79
Hg 0.5000 0.5000 0.5000 [1 per cell]  8 Fe 2.79, 4 Hg 3.06
Br 0.5000 0.5000 0.0000 [1 per cell]  8 Fe 2.72

raw formation energy	2.1	eV per formula unit
energy above the most stable polymorph in this dataset	16.1	kJ per mole of atoms

A crystal of FeHg2Br relaxed with PBEsol. Source: the Alexandria database, functional SCAN.

a b c (Å): 3.1102 3.1102 8.7311
angles (deg): 90.00 90.00 90.00
With the nearest neighbours (Å) after each atom.
Space group P4mm (No. 99)
Inequivalent atoms, fractional coordinates:
Fe 0.0000 0.0000 0.0000 [1 per cell]  4 Br 2.63, 4 Hg 2.86
Hg 0.0000 0.0000 0.4940 [1 per cell]  8 Hg 3.11-3.32
Hg 0.5000 0.5000 0.2086 [1 per cell]  4 Fe 2.86, 4 Hg 3.11
Br 0.5000 0.5000 0.8349 [1 per cell]  4 Fe 2.63

raw formation energy	0.4	eV per formula unit
energy above the most stable polymorph in this dataset	0.7	kJ per mole of atoms

A crystal of FeI3Br relaxed with PBEsol. Source: the Alexandria database, functional SCAN.

a b c (Å): 5.7865 5.7865 5.7865
angles (deg): 90.00 90.00 90.00
With the nearest neighbours (Å) after each atom.
Space group Pm-3m (No. 221)
Inequivalent atoms, fractional coordinates:
Fe 0.0000 0.0000 0.0000 [1 per cell]  12 I 4.09
I 0.0000 0.5000 0.5000 [3 per cell]  2 Br 2.89
Br 0.5000 0.5000 0.5000 [1 per cell]  6 I 2.89

raw formation energy	4.4	eV per formula unit

A crystal of FeI2BrO relaxed with PBEsol. Source: the Alexandria database, functional SCAN.

a b c (Å): 6.1288 6.1288 3.4236
angles (deg): 90.00 90.00 90.00
With the nearest neighbours (Å) after each atom.
Space group P4/mmm (No. 123)
Inequivalent atoms, fractional coordinates:
Fe 0.0000 0.0000 0.0000 [1 per cell]  2 O 1.71
I 0.0000 0.5000 0.5000 [2 per cell]  2 O 3.06, 2 I 3.42
Br 0.5000 0.5000 0.0000 [1 per cell]  2 Br 3.42, 8 I 3.51
O 0.0000 0.0000 0.5000 [1 per cell]  2 Fe 1.71

raw formation energy	0.5	eV per formula unit

A crystal of FeSbI2Br relaxed with PBEsol. Source: the Alexandria database, functional SCAN.

a b c (Å): 5.7240 5.7240 5.5261
angles (deg): 90.00 90.00 90.00
With the nearest neighbours (Å) after each atom.
Space group P4/mmm (No. 123)
Inequivalent atoms, fractional coordinates:
Fe 0.0000 0.0000 0.0000 [1 per cell]  8 I 3.98, 4 Sb 4.05
Sb 0.5000 0.5000 0.0000 [1 per cell]  2 Br 2.76
I 0.0000 0.5000 0.5000 [2 per cell]  2 Br 2.86
Br 0.5000 0.5000 0.5000 [1 per cell]  2 Sb 2.76, 4 I 2.86

raw formation energy	6.0	eV per formula unit

A crystal of FeSb2IBr relaxed with PBEsol. Source: the Alexandria database, functional SCAN.

a b c (Å): 5.4595 5.4595 5.6099
angles (deg): 90.00 90.00 90.00
With the nearest neighbours (Å) after each atom.
Space group P4/mmm (No. 123)
Inequivalent atoms, fractional coordinates:
Fe 0.0000 0.0000 0.0000 [1 per cell]  4 I 3.86, 8 Sb 3.91
Sb 0.0000 0.5000 0.5000 [2 per cell]  2 Br 2.73
I 0.5000 0.5000 0.0000 [1 per cell]  2 Br 2.80
Br 0.5000 0.5000 0.5000 [1 per cell]  4 Sb 2.73, 2 I 2.80

raw formation energy	7.2	eV per formula unit

A crystal of FeTeI2Br relaxed with PBEsol. Source: the Alexandria database, functional SCAN.

a b c (Å): 5.7611 5.7611 5.4816
angles (deg): 90.00 90.00 90.00
With the nearest neighbours (Å) after each atom.
Space group P4/mmm (No. 123)
Inequivalent atoms, fractional coordinates:
Fe 0.0000 0.0000 0.0000 [1 per cell]  8 I 3.98, 4 Te 4.07
Te 0.5000 0.5000 0.0000 [1 per cell]  2 Br 2.74
I 0.0000 0.5000 0.5000 [2 per cell]  2 Br 2.88
Br 0.5000 0.5000 0.5000 [1 per cell]  2 Te 2.74, 4 I 2.88

raw formation energy	5.2	eV per formula unit

A crystal of InFeBr3 relaxed with PBEsol. Source: the Alexandria database, functional SCAN.

a b c (Å): 5.4292 5.4292 5.4292
angles (deg): 90.00 90.00 90.00
With the nearest neighbours (Å) after each atom.
Space group Pm-3m (No. 221)
Inequivalent atoms, fractional coordinates:
In 0.0000 0.0000 0.0000 [1 per cell]  6 Br 2.71
Fe 0.5000 0.5000 0.5000 [1 per cell]  12 Br 3.84
Br 0.0000 0.0000 0.5000 [3 per cell]  2 In 2.71

raw formation energy	0.3	eV per formula unit